The following is a PBE calculation of an optimized crystal structure of MnRe2Ir, from Alexandria.

Lattice parameters (Å, degrees): 5.249 5.249 5.249 148.57 129.97 60.28
Last column: magnetic moment on the atom in μB.
Element x y z (fractional)
Re 0.024 0.024 0.000  -0.09
Re 0.755 0.255 0.500  -0.04
Mn 0.246 0.746 0.500  2.43
Ir 0.475 0.475 0.000  0.10

Summary:
SG   Imm2, No. 44
Spin magnetization   0.616 μB/atom
Total energy   -10.573 eV/atom
Relative energy among the computed polymorphs   22.8 kJ/mol of atoms
DFT formation energy   158 meV/atom